[1]
Entry from Alexandria: a relaxed structure of ZnHPd3 (GGA-PBE).

a b c (Å): 2.9049 5.9184 7.6687
angles (deg): 86.14 79.18 75.86
Last column: nearest neighbours and their distance in Å.
Space group P1 (No. 1)
Inequivalent atoms, fractional coordinates:
Zn: 0.0000 0.0000 0.0000 [1 per cell]  9 Pd 2.61-2.82, 2 Zn 2.90
Zn: 0.2721 0.8662 0.5873 [1 per cell]  9 Pd 2.64-2.83, 2 Zn 2.90
H: 0.6630 0.4277 0.2543 [1 per cell]  4 Pd 1.88-1.94
H: 0.9455 0.3986 0.7140 [1 per cell]  4 Pd 1.80-1.87
Pd: 0.0037 0.5048 0.4868 [1 per cell]  1 H 1.80
Pd: 0.2675 0.3703 0.0935 [1 per cell]  2 H 1.92-1.93
Pd: 0.5109 0.7537 0.2238 [1 per cell]  1 H 1.88
Pd: 0.5309 0.1967 0.7432 [1 per cell]  2 H 1.87
Pd: 0.7406 0.6690 0.8465 [1 per cell]  1 H 1.86
Pd: 0.7595 0.1171 0.3621 [1 per cell]  1 H 1.94

## Properties
- total DFT energy (no corrections) (eV per cell) = -43.27
- density of states at the Fermi level (states/eV/cell) = 3.50

[2]
Entry from Alexandria: a relaxed structure of ZnH2Pd6 (GGA-PBE).

a b c (Å): 12.4525 2.8964 8.7664
angles (deg): 90.00 131.77 90.00
Last column: nearest neighbours and their distance in Å.
Space group C2/m (No. 12)
Inequivalent atoms, fractional coordinates:
Zn: 0.0000 0.0000 0.0000 [2 per cell]  6 Pd 2.50-2.66
H: 0.1540 0.0000 0.6570 [4 per cell]  4 Pd 1.88-1.97
Pd: 0.0132 0.0000 0.6770 [4 per cell]  1 H 1.88
Pd: 0.1829 0.5000 0.0451 [4 per cell]  1 H 1.97
Pd: 0.2416 0.5000 0.6250 [4 per cell]  2 H 1.94

## Properties
- total DFT energy (no corrections) (eV per cell) = -79.44
- density of states at the Fermi level (states/eV/cell) = 14.66